# CrOsCl2 | Alexandria via LeMat-Bulk | PBE-GGA | optimized geometry
data_CrOsCl2
_cell_length_a 3.1556
_cell_length_b 3.1556
_cell_length_c 8.2468
_cell_angle_alpha 90.00
_cell_angle_beta 90.00
_cell_angle_gamma 124.29
_space_group_name_H-M_alt 'P 1'
_space_group_IT_number 1
loop_
_space_group_symop_operation_xyz
'x,y,z'
loop_
_atom_site_label
_atom_site_fract_x
_atom_site_fract_y
_atom_site_fract_z
Cr1 0.5000 0.5000 0.2500
Os1 0.5000 0.5000 0.7500
Cl1 0.0000 0.0000 0.9915
Cl2 0.0000 0.0000 0.5085
# Space group: No. 65
# Excess energy over the best structure of this formula in the dataset, eV/atom: 0.890
# Final energy, eV per atom: -5.314
# Raw formation energy, eV/atom: 0.82